Entry 1:
The following is a GGA-PBE calculation of an optimized crystal structure of SrZnPbAu, from Alexandria via LeMat-Bulk.

Cell: 7.389 7.389 7.389 Å, 90.00 90.00 90.00°
Fractional positions:
1 Sr 0.000 0.000 0.000
2 Sr 0.000 0.500 0.500
3 Sr 0.500 0.000 0.500
4 Sr 0.500 0.500 0.000
5 Zn 0.250 0.250 0.750
6 Zn 0.250 0.750 0.250
7 Zn 0.750 0.250 0.250
8 Zn 0.750 0.750 0.750
9 Pb 0.000 0.000 0.500
10 Pb 0.000 0.500 0.000
11 Pb 0.500 0.000 0.000
12 Pb 0.500 0.500 0.500
13 Au 0.250 0.250 0.250
14 Au 0.250 0.750 0.750
15 Au 0.750 0.250 0.750
16 Au 0.750 0.750 0.250

Results
Symmetry: No. 216
Energy, eV/atom: -2.82
Total moment, μB per formula unit: 0.00
Formation enthalpy at 0 K, meV per atom: -339

Entry 2:
The following is a GGA-PBE calculation of an optimized crystal structure of Sr2ZnPb2Au4, from Alexandria via LeMat-Bulk.

Cell: 6.800 6.800 6.800 Å, 117.08 117.08 95.14°
Fractional positions:
1 Sr 0.250 0.750 0.500
2 Sr 0.750 0.250 0.500
3 Zn 0.000 0.000 0.000
4 Pb 0.312 0.312 0.000
5 Pb 0.688 0.688 0.000
6 Au 0.255 0.255 0.511
7 Au 0.255 0.745 0.000
8 Au 0.745 0.255 0.000
9 Au 0.745 0.745 0.489

Results
Symmetry: No. 139
Energy, eV/atom: -3.21
Total moment, μB per formula unit: 0.00
Formation enthalpy at 0 K, meV per atom: -414

Entry 3:
The following is a GGA-PBE calculation of an optimized crystal structure of TaPb4Au, from Alexandria via LeMat-Bulk.

Cell: 6.224 6.224 6.224 Å, 60.00 60.00 60.00°
Fractional positions:
1 Ta 0.000 0.000 0.000
2 Pb 0.375 0.375 0.375
3 Pb 0.375 0.375 0.876
4 Pb 0.375 0.876 0.375
5 Pb 0.876 0.375 0.375
6 Au 0.750 0.750 0.750

Results
Symmetry: No. 216
Energy, eV/atom: -4.05
Total moment, μB per formula unit: 2.29
Formation enthalpy at 0 K, meV per atom: 939

Entry 4:
The following is a GGA-PBE calculation of an optimized crystal structure of TaPbAu3, from Alexandria via LeMat-Bulk.

Cell: 5.152 5.152 5.152 Å, 90.00 90.00 90.00°
Fractional positions:
1 Ta 0.000 0.000 0.000
2 Pb 0.500 0.500 0.500
3 Au 0.000 0.000 0.500
4 Au 0.000 0.500 0.000
5 Au 0.500 0.000 0.000

Results
Symmetry: No. 221
Energy, eV/atom: -4.39
Total moment, μB per formula unit: 0.00
Formation enthalpy at 0 K, meV per atom: 685

Entry 5:
The following is a GGA-PBE calculation of an optimized crystal structure of TbPb2Au, from Alexandria via LeMat-Bulk.

Cell: 4.734 4.734 4.573 Å, 90.00 90.00 90.00°
Fractional positions:
1 Tb 0.000 0.000 0.000
2 Pb 0.000 0.500 0.500
3 Pb 0.500 0.000 0.500
4 Au 0.500 0.500 0.000

Results
Symmetry: No. 123
Energy, eV/atom: -4.23
Total moment, μB per formula unit: 0.00
Formation enthalpy at 0 K, meV per atom: -394

Entry 6:
The following is a GGA-PBE calculation of an optimized crystal structure of TbPbAu2, from Alexandria via LeMat-Bulk.

Cell: 3.759 3.759 6.752 Å, 90.00 90.00 90.00°
Fractional positions:
1 Tb 0.000 0.000 0.000
2 Pb 0.000 0.000 0.500
3 Au 0.500 0.500 0.224
4 Au 0.500 0.500 0.776

Results
Symmetry: No. 123
Energy, eV/atom: -4.29
Total moment, μB per formula unit: 0.00
Formation enthalpy at 0 K, meV per atom: -567